The following is a DFT calculation (PBE with a Hubbard U) of a relaxed BaMoOsO6 crystal.

The structure in CIF format:
```
data_BaMoOsO6
_space_group_name_H-M_alt 'P 3 1 2'
_space_group_IT_number 149
_cell_length_a 5.3982
_cell_length_b 5.3982
_cell_length_c 5.7092
_cell_angle_alpha 90.00
_cell_angle_beta 90.00
_cell_angle_gamma 120.00
loop_
_space_group_symop_operation_xyz
'x,y,z'
'-y,x-y,z'
'-x+y,-x,z'
'-y,-x,-z'
'-x+y,y,-z'
'x,x-y,-z'
loop_
_atom_site_label
_atom_site_fract_x
_atom_site_fract_y
_atom_site_fract_z
_atom_site_occupancy
Ba1 0.0000 0.0000 0.0000 1
Mo1 0.3333 0.6667 0.5000 1
Os1 0.6667 0.3333 0.5000 1
O1 0.3951 0.0065 0.6938 1
```

Values from the calculation:
As for the electronic total energy: -0.2671 Ha/atom. As for the size of the total moment: 4.0 μB per formula unit.